## Cs4Nd3VO8 (PBE+U)

Data for crystalline Cs4Nd3VO8 at its relaxed geometry.

Unit cell a=12.598 b=7.156 c=8.063 alpha=90.00 beta=121.21 gamma=90.00
Space group C2/m (No. 12)
Symmetry-distinct sites (fractional):
Cs (0.000, 0.000, 0.000)
Cs (0.000, 0.500, 0.000)
Cs (0.250, 0.250, 0.000)
Nd (0.000, 0.000, 0.500)
Nd (0.250, 0.250, 0.500)
V (0.000, 0.500, 0.500)
O (0.023, 0.276, 0.342)
O (0.222, 0.000, 0.671)
O (0.226, 0.500, 0.677)

Results
The calculation puts the energy at -6.275 eV/atom.